[1]
Compound: Re3HRu
Source: the Alexandria database
Functional: PBE-GGA
Structure: relaxed

a b c (Å): 3.9347 3.9347 3.9347
angles (deg): 90.00 90.00 90.00
Last column: nearest neighbours and their distance in Å.
Space group Pm-3m (No. 221)
Asymmetric unit:
Re (0.0000, 0.0000, 0.5000)  2 H 1.97
H (0.0000, 0.0000, 0.0000)  6 Re 1.97
Ru (0.5000, 0.5000, 0.5000)  12 Re 2.78

Values from the calculation:
VASP energy: -9.8580 eV/atom

---

[2]
Compound: BeZn2Cd
Source: the Alexandria database
Functional: PBE-GGA
Structure: relaxed

a b c (Å): 4.0138 4.0138 17.1948
angles (deg): 90.00 90.00 90.00
Last column: nearest neighbours and their distance in Å.
Space group I-42d (No. 122)
Asymmetric unit:
Be (0.0000, 0.0000, 0.0000)  4 Zn 2.49
Zn (0.1896, 0.2500, 0.1250)  2 Be 2.49, 2 Zn 2.52, 2 Cd 2.68
Cd (0.0000, 0.0000, 0.5000)  4 Zn 2.68, 4 Be 2.84

Values from the calculation:
formation energy: 0.361 eV per atom

---

[3]
Compound: Cs2Tl4SnBi3
Source: the Alexandria database
Functional: PBE-GGA
Structure: relaxed

a b c (Å): 5.2522 5.2522 14.2170
angles (deg): 90.00 90.00 90.00
Last column: nearest neighbours and their distance in Å.
Space group P-4m2 (No. 115)
Asymmetric unit:
Cs (0.0000, 0.5000, 0.2489)  8 Tl 4.04-4.43, 6 Bi 4.08-4.41, 2 Sn 4.41
Tl (0.0000, 0.0000, 0.5000)  4 Bi 3.23
Tl (0.0000, 0.5000, 0.8636)  2 Sn 3.26, 3 Bi 3.26-3.30
Tl (0.5000, 0.5000, 0.5000)  4 Bi 3.23
Sn (0.5000, 0.5000, 0.0000)  4 Tl 3.26
Bi (0.0000, 0.0000, 0.0000)  4 Tl 3.26
Bi (0.0000, 0.5000, 0.6318)  5 Tl 3.23-3.30

Values from the calculation:
formation energy: -0.160 eV per atom

---

[4]
Compound: Ta3CuC
Source: the Alexandria database
Functional: PBE-GGA
Structure: relaxed

a b c (Å): 4.2456 4.2456 4.2456
angles (deg): 90.00 90.00 90.00
Last column: nearest neighbours and their distance in Å.
Space group Pm-3m (No. 221)
Asymmetric unit:
Ta (0.0000, 0.0000, 0.5000)  2 C 2.12
Cu (0.5000, 0.5000, 0.5000)  12 Ta 3.00
C (0.0000, 0.0000, 0.0000)  6 Ta 2.12

Values from the calculation:
formation energy: -0.039 eV per atom